Entry 1:
Ac2CoGe3Rh4 after structural relaxation. Source: Alexandria via LeMat-Bulk, functional PBE-GGA.

## Properties
- formation energy from the elements (eV/atom) = -0.7046

Cell lengths 4.3146, 4.3146, 10.3791 Å; angles 90.00, 90.00, 90.00 degrees
With the nearest neighbours (Å) after each atom.
Space group P-4m2 (No. 115)
Symmetry-distinct sites (fractional):
Ac1 0.0000 0.5000 0.2438  8 Rh 3.29-3.42, 6 Ge 3.33, 2 Co 3.33
Co1 0.5000 0.5000 0.0000  4 Rh 2.52
Ge1 0.0000 0.0000 0.0000  4 Rh 2.52
Ge2 0.0000 0.5000 0.6267  5 Rh 2.53-2.57
Rh1 0.0000 0.0000 0.5000  4 Ge 2.53
Rh2 0.0000 0.5000 0.8741  3 Ge 2.52-2.57, 2 Co 2.52
Rh3 0.5000 0.5000 0.5000  4 Ge 2.53

---

Entry 2:
AcCoGe2Ru after structural relaxation. Source: Alexandria via LeMat-Bulk, functional PBE-GGA.

## Properties
- formation energy from the elements (eV/atom) = -0.5694

Cell lengths 4.2304, 4.2304, 10.7457 Å; angles 90.00, 90.00, 90.00 degrees
With the nearest neighbours (Å) after each atom.
Space group I-4m2 (No. 119)
Symmetry-distinct sites (fractional):
Ac1 0.0000 0.0000 0.0000  8 Ge 3.34, 4 Co 3.42, 4 Ru 3.42
Co1 0.0000 0.5000 0.7500  4 Ge 2.43
Ge1 0.0000 0.0000 0.3607  2 Co 2.43, 2 Ru 2.43
Ru1 0.0000 0.5000 0.2500  4 Ge 2.43

---

Entry 3:
AcSmCoGe after structural relaxation. Source: Alexandria via LeMat-Bulk, functional PBE-GGA.

## Properties
- formation energy from the elements (eV/atom) = -0.2003

Cell lengths 7.3813, 7.3813, 7.3813 Å; angles 90.00, 90.00, 90.00 degrees
With the nearest neighbours (Å) after each atom.
Space group F-43m (No. 216)
Symmetry-distinct sites (fractional):
Ac1 0.0000 0.0000 0.0000  4 Ge 3.20, 4 Co 3.20
Sm1 0.0000 0.0000 0.5000  4 Ge 3.20, 4 Co 3.20
Co1 0.2500 0.2500 0.7500  4 Ac 3.20, 4 Sm 3.20
Ge1 0.2500 0.2500 0.2500  4 Ac 3.20, 4 Sm 3.20

---

Entry 4:
AcCoTcGe3 after structural relaxation. Source: Alexandria via LeMat-Bulk, functional PBE-GGA.

## Properties
- formation energy from the elements (eV/atom) = -0.2909

Cell lengths 7.2134, 11.3557, 6.0808 Å; angles 90.00, 90.00, 90.00 degrees
With the nearest neighbours (Å) after each atom.
Space group Cmcm (No. 63)
Symmetry-distinct sites (fractional):
Ac1 0.0000 0.2466 0.2500  2 Ge 3.04, 1 Co 3.36
Co1 0.0000 0.0491 0.7500  5 Ge 2.19-2.36
Tc1 0.0000 0.4471 0.7500  5 Ge 2.33-2.50
Ge1 0.0000 0.2418 0.7500  1 Co 2.19, 1 Tc 2.33
Ge2 0.2371 0.0000 0.0000  2 Co 2.36, 2 Tc 2.50

---

Entry 5:
Ac8CoGe3Te3 after structural relaxation. Source: Alexandria via LeMat-Bulk, functional PBE-GGA.

## Properties
- uncorrected formation energy (eV/f.u.) = -13.21

Cell lengths 9.1988, 9.1988, 23.5262 Å; angles 90.00, 90.00, 120.00 degrees
With the nearest neighbours (Å) after each atom.
Space group R-3m (No. 166, hexagonal axes)
Symmetry-distinct sites (fractional):
Ac1 0.0000 0.0000 0.2427  3 Ge 3.20, 3 Te 3.40
Ac2 0.0214 0.5107 0.2351  1 Co 2.96, 2 Ge 3.18
Co1 0.0000 0.0000 0.5000  6 Ac 2.96
Ge1 0.0000 0.5000 0.5000  6 Ac 3.18-3.20
Te1 0.0000 0.5000 0.0000  6 Ac 3.40-3.46

---

Entry 6:
Ac12Co3H5 after structural relaxation. Source: Alexandria via LeMat-Bulk, functional PBE-GGA.

## Properties
- total energy (eV per cell) = -708.4

Cell lengths 16.4971, 16.4971, 16.4971 Å; angles 90.00, 90.00, 90.00 degrees
With the nearest neighbours (Å) after each atom.
Space group Ia-3d (No. 230)
Symmetry-distinct sites (fractional):
Ac1 0.0323 0.0645 0.6549  1 H 2.44
Co1 0.0000 0.2500 0.1250  8 Ac 3.15-3.21
H1 0.0000 0.0000 0.0000  6 Ac 2.82
H2 0.0000 0.2500 0.3750  4 Ac 2.44

---

Entry 7:
Ac6CoH2 after structural relaxation. Source: Alexandria via LeMat-Bulk, functional PBE-GGA.

## Properties
- total energy (eV per cell) = -79.2

Cell lengths 6.6426, 6.9572, 12.1178 Å; angles 90.00, 90.00, 90.00 degrees
With the nearest neighbours (Å) after each atom.
Space group Pnnm (No. 58)
Symmetry-distinct sites (fractional):
Ac1 0.2443 0.1701 0.0000  1 Co 2.86, 2 H 2.93
Ac2 0.2460 0.1721 0.3309  2 H 2.81-2.83, 1 Co 2.88
Co1 0.0000 0.0000 0.5000  6 Ac 2.86-2.88
H1 0.0000 0.5000 0.3289  6 Ac 2.81-2.93

---

Entry 8:
Ac3CoH after structural relaxation. Source: Alexandria via LeMat-Bulk, functional PBE-GGA.

## Properties
- total energy (eV per cell) = -93.8

Cell lengths 7.0341, 7.0341, 13.4450 Å; angles 90.00, 90.00, 120.00 degrees
With the nearest neighbours (Å) after each atom.
Space group P-31c (No. 163)
Symmetry-distinct sites (fractional):
Ac1 0.0039 0.3400 0.1257  2 H 2.81-2.95, 2 Co 2.85-2.91
Co1 0.0000 0.0000 0.2500  6 Ac 2.91
Co2 0.3333 0.6667 0.2500  6 Ac 2.85
H1 0.3333 0.6667 0.5109  6 Ac 2.81-2.95

---

Calculated total moment (μB/cell), listed in the same order as above: 1.7, 0.0, 3.3, 0.0, 2.9, 0.1, 0.0, 0.0